(1)
The following is a PBE calculation of crystalline TbNdBr5 at its relaxed geometry, from Alexandria via LeMat-Bulk.

Unit cell a=8.5366 b=4.0630 c=13.7035 alpha=90.00 beta=94.60 gamma=90.00
With the nearest neighbours (Å) after each atom.
Element x y z (fractional)
Tb (0.0830, 0.2500, 0.1550)  7 Br 2.86-3.11
Tb (0.9170, 0.7500, 0.8450)  7 Br 2.86-3.11
Nd (0.3977, 0.7500, 0.3477)  7 Br 2.98-3.11
Nd (0.6023, 0.2500, 0.6523)  7 Br 2.98-3.11
Br (0.1291, 0.2500, 0.7918)  2 Tb 2.86
Br (0.1470, 0.2500, 0.3704)  1 Tb 2.96, 2 Nd 2.98
Br (0.1765, 0.7500, 0.0177)  3 Tb 2.92-3.11
Br (0.3636, 0.7500, 0.5719)  3 Nd 3.02-3.11
Br (0.4301, 0.2500, 0.1890)  1 Tb 2.96, 2 Nd 3.00
Br (0.5699, 0.7500, 0.8110)  1 Tb 2.96, 2 Nd 3.00
Br (0.6364, 0.2500, 0.4281)  3 Nd 3.02-3.11
Br (0.8235, 0.2500, 0.9823)  3 Tb 2.92-3.11
Br (0.8530, 0.7500, 0.6296)  1 Tb 2.96, 2 Nd 2.98
Br (0.8709, 0.7500, 0.2082)  2 Tb 2.86

Computed properties:
DFT total energy ... -60.673 eV for the cell shown
Raw formation energy ... -1.796 eV/atom

***

(2)
The following is a PBE calculation of crystalline TbNdBr2 at its relaxed geometry, from Alexandria via LeMat-Bulk.

Unit cell a=10.4587 b=10.4587 c=10.4587 alpha=20.26 beta=20.26 gamma=20.26
With the nearest neighbours (Å) after each atom.
Element x y z (fractional)
Tb (0.0000, 0.0000, 0.0000)  6 Br 2.97
Nd (0.5000, 0.5000, 0.5000)  2 Br 3.04
Br (0.4011, 0.4011, 0.4011)  3 Tb 2.97, 1 Nd 3.04
Br (0.5989, 0.5989, 0.5989)  3 Tb 2.97, 1 Nd 3.04

Computed properties:
Offset from the most stable computed form ... 0.21 eV per formula unit
DFT total energy ... -16.816 eV for the cell shown
Raw formation energy ... -1.018 eV/atom

***

(3)
The following is a PBE calculation of crystalline TbNd2Br at its relaxed geometry, from Alexandria via LeMat-Bulk.

Unit cell a=10.7449 b=10.7449 c=10.7449 alpha=20.05 beta=20.05 gamma=20.05
With the nearest neighbours (Å) after each atom.
Element x y z (fractional)
Tb (0.0000, 0.0000, 0.0000)  6 Nd 3.58-3.60, 6 Tb 3.74
Nd (0.2423, 0.2423, 0.2423)  3 Br 3.22, 3 Tb 3.60
Nd (0.4239, 0.4239, 0.4239)  3 Br 3.23, 3 Tb 3.58
Br (0.8334, 0.8334, 0.8334)  6 Nd 3.22-3.23

Computed properties:
Offset from the most stable computed form ... 0.00 eV per formula unit
DFT total energy ... -18.047 eV for the cell shown
Raw formation energy ... -0.552 eV/atom

***

(4)
The following is a PBE calculation of crystalline TbNdBr3 at its relaxed geometry, from Alexandria via LeMat-Bulk.

Unit cell a=9.3766 b=9.3766 c=11.6147 alpha=122.74 beta=122.74 gamma=24.52
With the nearest neighbours (Å) after each atom.
Element x y z (fractional)
Tb (0.0735, 0.0735, 0.4576)  4 Br 2.91-2.95
Tb (0.9265, 0.9265, 0.5424)  4 Br 2.91-2.95
Nd (0.3617, 0.3617, 0.2133)  5 Br 2.96-3.07
Nd (0.6383, 0.6383, 0.7867)  5 Br 2.96-3.07
Br (0.1635, 0.1635, 0.0077)  3 Nd 3.05-3.07
Br (0.2870, 0.2870, 0.3833)  2 Tb 2.95, 1 Nd 2.96
Br (0.4635, 0.4635, 0.7513)  2 Tb 2.91, 1 Nd 2.99
Br (0.5365, 0.5365, 0.2487)  2 Tb 2.91, 1 Nd 2.99
Br (0.7130, 0.7130, 0.6167)  2 Tb 2.95, 1 Nd 2.96
Br (0.8365, 0.8365, 0.9923)  3 Nd 3.05-3.07

Computed properties:
DFT total energy ... -43.999 eV for the cell shown
Raw formation energy ... -1.517 eV/atom

***

(5)
The following is a PBE calculation of crystalline TbNd2Br at its relaxed geometry, from Alexandria via LeMat-Bulk.

Unit cell a=3.6051 b=3.6051 c=9.7080 alpha=90.00 beta=90.00 gamma=90.00
With the nearest neighbours (Å) after each atom.
Element x y z (fractional)
Tb (0.0000, 0.0000, 0.0000)  4 Tb 3.61, 8 Nd 3.62
Nd (0.5000, 0.5000, 0.2645)  4 Br 3.42, 4 Nd 3.61, 4 Tb 3.62
Nd (0.5000, 0.5000, 0.7355)  4 Br 3.42, 4 Nd 3.61, 4 Tb 3.62
Br (0.0000, 0.0000, 0.5000)  8 Nd 3.42, 4 Br 3.61

Computed properties:
Offset from the most stable computed form ... 0.33 eV per formula unit
DFT total energy ... -17.717 eV for the cell shown
Raw formation energy ... -0.470 eV/atom

***

(6)
The following is a PBE calculation of crystalline TbNdBr2 at its relaxed geometry, from Alexandria via LeMat-Bulk.

Unit cell a=9.5795 b=9.5795 c=9.5795 alpha=21.96 beta=21.96 gamma=21.96
With the nearest neighbours (Å) after each atom.
Element x y z (fractional)
Tb (0.0000, 0.0000, 0.0000)  6 Br 3.09-3.14
Nd (0.8362, 0.8362, 0.8362)  6 Br 3.14-3.21
Br (0.4164, 0.4164, 0.4164)  3 Tb 3.14, 3 Nd 3.21
Br (0.5860, 0.5860, 0.5860)  3 Tb 3.09, 3 Nd 3.14

Computed properties:
Offset from the most stable computed form ... 0.00 eV per formula unit
DFT total energy ... -17.026 eV for the cell shown
Raw formation energy ... -1.071 eV/atom

***

(7)
The following is a PBE calculation of crystalline TbNdBr at its relaxed geometry, from Alexandria via LeMat-Bulk.

Unit cell a=8.6270 b=8.6270 c=8.6270 alpha=38.76 beta=38.76 gamma=38.76
With the nearest neighbours (Å) after each atom.
Element x y z (fractional)
Tb (0.1779, 0.1779, 0.1779)  1 Br 2.87
Tb (0.8221, 0.8221, 0.8221)  1 Br 2.87
Nd (0.4277, 0.4277, 0.4277)  1 Br 3.10, 1 Nd 3.46
Nd (0.5723, 0.5723, 0.5723)  1 Br 3.10, 1 Nd 3.46
Br (0.2980, 0.2980, 0.2980)  1 Tb 2.87, 1 Nd 3.10
Br (0.7020, 0.7020, 0.7020)  1 Tb 2.87, 1 Nd 3.10

Computed properties:
Offset from the most stable computed form ... 0.89 eV per formula unit
DFT total energy ... -24.852 eV for the cell shown
Raw formation energy ... -0.452 eV/atom

***

(8)
The following is a PBE calculation of crystalline TbNdBr4 at its relaxed geometry, from Alexandria via LeMat-Bulk.

Unit cell a=9.5831 b=9.5831 c=7.0675 alpha=103.65 beta=103.65 gamma=130.57
With the nearest neighbours (Å) after each atom.
Element x y z (fractional)
Tb (0.0565, 0.9435, 0.7500)  6 Br 2.81-2.97
Tb (0.9435, 0.0565, 0.2500)  6 Br 2.81-2.97
Nd (0.4458, 0.5542, 0.2500)  6 Br 2.92-3.05
Nd (0.5542, 0.4458, 0.7500)  6 Br 2.92-3.05
Br (0.0731, 0.4185, 0.2555)  1 Tb 2.81, 1 Nd 2.92
Br (0.1621, 0.3093, 0.7416)  2 Tb 2.88-2.97, 2 Nd 2.99-3.05
Br (0.3093, 0.1621, 0.2416)  2 Tb 2.88-2.97, 2 Nd 2.99-3.05
Br (0.4185, 0.0731, 0.7555)  1 Tb 2.81, 1 Nd 2.92
Br (0.5815, 0.9269, 0.2445)  1 Tb 2.81, 1 Nd 2.92
Br (0.6907, 0.8379, 0.7584)  2 Tb 2.88-2.97, 2 Nd 2.99-3.05
Br (0.8379, 0.6907, 0.2584)  2 Tb 2.88-2.97, 2 Nd 2.99-3.05
Br (0.9269, 0.5815, 0.7445)  1 Tb 2.81, 1 Nd 2.92

Computed properties:
DFT total energy ... -50.962 eV for the cell shown
Raw formation energy ... -1.565 eV/atom

***

(9)
The following is a PBE calculation of crystalline TbNd2Br at its relaxed geometry, from Alexandria via LeMat-Bulk.

Unit cell a=10.8165 b=10.8165 c=10.8165 alpha=19.78 beta=19.78 gamma=19.78
With the nearest neighbours (Å) after each atom.
Element x y z (fractional)
Tb (0.0000, 0.0000, 0.0000)  6 Nd 3.60, 6 Tb 3.71
Nd (0.2425, 0.2425, 0.2425)  3 Br 3.23, 3 Tb 3.60
Nd (0.7575, 0.7575, 0.7575)  3 Br 3.23, 3 Tb 3.60
Br (0.5000, 0.5000, 0.5000)  6 Nd 3.23

Computed properties:
Offset from the most stable computed form ... 0.01 eV per formula unit
DFT total energy ... -18.040 eV for the cell shown
Raw formation energy ... -0.550 eV/atom

***

(10)
The following is a PBE calculation of crystalline TbNdBr at its relaxed geometry, from Alexandria via LeMat-Bulk.

Unit cell a=3.7811 b=3.7811 c=7.4896 alpha=90.00 beta=90.00 gamma=120.00
With the nearest neighbours (Å) after each atom.
Element x y z (fractional)
Tb (0.0000, 0.0000, 0.0000)  3 Br 3.15, 3 Nd 3.52
Nd (0.3333, 0.6667, 0.6319)  3 Br 3.29, 3 Tb 3.52
Br (0.6667, 0.3333, 0.3026)  3 Tb 3.15, 3 Nd 3.29

Computed properties:
Offset from the most stable computed form ... 0.00 eV per formula unit
DFT total energy ... -13.311 eV for the cell shown
Raw formation energy ... -0.747 eV/atom

***

(11)
The following is a PBE calculation of crystalline TbNd2Br6 at its relaxed geometry, from Alexandria via LeMat-Bulk.

Unit cell a=10.3906 b=10.3906 c=7.5295 alpha=95.70 beta=95.70 gamma=21.57
With the nearest neighbours (Å) after each atom.
Element x y z (fractional)
Tb (0.0000, 0.0000, 0.0000)  6 Br 2.88
Nd (0.3218, 0.3218, 0.4652)  6 Br 2.96-3.22
Nd (0.6782, 0.6782, 0.5348)  6 Br 2.96-3.22
Br (0.0812, 0.0812, 0.3362)  1 Tb 2.88, 2 Nd 3.06
Br (0.2500, 0.2500, 0.7870)  3 Nd 2.96-3.00
Br (0.4183, 0.4183, 0.1528)  2 Tb 2.88, 1 Nd 3.22
Br (0.5817, 0.5817, 0.8472)  2 Tb 2.88, 1 Nd 3.22
Br (0.7500, 0.7500, 0.2130)  3 Nd 2.96-3.00
Br (0.9188, 0.9188, 0.6638)  1 Tb 2.88, 2 Nd 3.06

Computed properties:
DFT total energy ... -38.661 eV for the cell shown
Raw formation energy ... -1.606 eV/atom

***

(12)
The following is a PBE calculation of crystalline TbNdTe2Br at its relaxed geometry, from Alexandria via LeMat-Bulk.

Unit cell a=4.4480 b=4.4480 c=15.1236 alpha=90.00 beta=90.00 gamma=90.00
With the nearest neighbours (Å) after each atom.
Element x y z (fractional)
Tb (0.2500, 0.2500, 0.0848)  6 Te 3.11-3.19
Tb (0.7500, 0.7500, 0.9152)  6 Te 3.11-3.19
Nd (0.2500, 0.2500, 0.6426)  4 Br 3.10, 4 Te 3.30
Nd (0.7500, 0.7500, 0.3574)  4 Br 3.10, 4 Te 3.30
Te (0.2500, 0.2500, 0.2923)  1 Tb 3.14, 4 Nd 3.30
Te (0.2500, 0.2500, 0.8790)  5 Tb 3.11-3.19
Te (0.7500, 0.7500, 0.1210)  5 Tb 3.11-3.19
Te (0.7500, 0.7500, 0.7077)  1 Tb 3.14, 4 Nd 3.30
Br (0.2500, 0.7500, 0.5000)  4 Nd 3.10, 4 Br 3.15
Br (0.7500, 0.2500, 0.5000)  4 Nd 3.10, 4 Br 3.15

Computed properties:
DFT total energy ... -49.163 eV for the cell shown
Raw formation energy ... -1.445 eV/atom